Record 1
Density functional theory data (meta-GGA SCAN) for ZnAgPt2 at its PBEsol-relaxed geometry.

Results
Calculated formation energy (eV per atom): -0.238

Cell: 3.969 3.969 7.549 Å, 90.00 90.00 90.00°
Space group I4/mmm (No. 139)
Symmetry-distinct sites (fractional):
1 Zn 0.000 0.000 0.000 [2 per cell]
2 Ag 0.000 0.000 0.500 [2 per cell]
3 Pt 0.000 0.500 0.250 [4 per cell]

=====

Record 2
Density functional theory data (meta-GGA SCAN) for CsBa3Zr at its PBEsol-relaxed geometry.

Results
Calculated formation energy (eV per atom): 0.601

Cell: 6.502 6.502 6.502 Å, 90.00 90.00 90.00°
Space group Pm-3m (No. 221)
Symmetry-distinct sites (fractional):
1 Cs 0.000 0.000 0.000 [1 per cell]
2 Ba 0.000 0.500 0.500 [3 per cell]
3 Zr 0.500 0.500 0.500 [1 per cell]

=====

Record 3
Density functional theory data (meta-GGA SCAN) for ZrBe2Ag at its PBEsol-relaxed geometry.

Results
Calculated formation energy (eV per atom): 0.037

Cell: 2.813 2.813 6.839 Å, 90.00 90.00 90.00°
Space group P4mm (No. 99)
Symmetry-distinct sites (fractional):
1 Zr 0.000 0.000 0.000 [1 per cell]
2 Be 0.000 0.000 0.578 [1 per cell]
3 Be 0.500 0.500 0.728 [1 per cell]
4 Ag 0.500 0.500 0.347 [1 per cell]

=====

Record 4
Density functional theory data (meta-GGA SCAN) for Be2H2Br at its PBEsol-relaxed geometry.

Cell: 5.956 5.956 2.983 Å, 90.00 90.00 90.00°
Space group P4/mbm (No. 127)
Symmetry-distinct sites (fractional):
1 Be 0.118 0.382 0.000 [4 per cell]
2 H 0.117 0.617 0.500 [4 per cell]
3 Br 0.000 0.000 0.000 [2 per cell]

=====

Record 5
Density functional theory data (meta-GGA SCAN) for CaCd5 at its PBEsol-relaxed geometry.

Results
Calculated formation energy (eV per atom): -0.184

Cell: 4.509 12.920 4.608 Å, 90.00 90.00 90.00°
Space group Cmmm (No. 65)
Symmetry-distinct sites (fractional):
1 Ca 0.000 0.000 0.000 [2 per cell]
2 Cd 0.000 0.169 0.500 [4 per cell]
3 Cd 0.000 0.324 0.000 [4 per cell]
4 Cd 0.000 0.500 0.500 [2 per cell]

=====

Record 6
Density functional theory data (meta-GGA SCAN) for ScSiF3 at its PBEsol-relaxed geometry.

Results
Uncorrected formation energy (eV per formula unit): -11.30

Cell: 4.153 4.153 4.153 Å, 90.00 90.00 90.00°
Space group Pm-3m (No. 221)
Symmetry-distinct sites (fractional):
1 Sc 0.000 0.000 0.000 [1 per cell]
2 Si 0.500 0.500 0.500 [1 per cell]
3 F 0.000 0.000 0.500 [3 per cell]

=====

Record 7
Density functional theory data (meta-GGA SCAN) for NaScCr2 at its PBEsol-relaxed geometry.

Results
Calculated formation energy (eV per atom): 0.651

Cell: 6.730 6.730 6.730 Å, 90.00 90.00 90.00°
Space group Fm-3m (No. 225)
Symmetry-distinct sites (fractional):
1 Na 0.000 0.000 0.000 [4 per cell]
2 Sc 0.000 0.000 0.500 [4 per cell]
3 Cr 0.250 0.250 0.250 [8 per cell]

=====

Record 8
Density functional theory data (meta-GGA SCAN) for Mn2TlCo at its PBEsol-relaxed geometry.

Results
Calculated formation energy (eV per atom): 0.059

Cell: 3.918 3.918 3.744 Å, 90.00 90.00 90.00°
Space group P4/mmm (No. 123)
Symmetry-distinct sites (fractional):
1 Mn 0.000 0.500 0.000 [2 per cell]
2 Tl 0.000 0.000 0.500 [1 per cell]
3 Co 0.500 0.500 0.500 [1 per cell]

=====

Record 9
Density functional theory data (meta-GGA SCAN) for Tc2BSe at its PBEsol-relaxed geometry.

Results
Uncorrected formation energy (eV per formula unit): 1.48

Cell: 5.773 5.773 5.773 Å, 90.00 90.00 90.00°
Space group Fm-3m (No. 225)
Symmetry-distinct sites (fractional):
1 Tc 0.250 0.250 0.250 [8 per cell]
2 B 0.000 0.000 0.000 [4 per cell]
3 Se 0.000 0.000 0.500 [4 per cell]

=====

Record 10
Density functional theory data (meta-GGA SCAN) for K2SrCa at its PBEsol-relaxed geometry.

Results
Calculated formation energy (eV per atom): 0.090

Cell: 4.125 4.125 13.108 Å, 90.00 90.00 90.00°
Space group P4mm (No. 99)
Symmetry-distinct sites (fractional):
1 K 0.000 0.000 0.000 [1 per cell]
2 K 0.500 0.500 0.283 [1 per cell]
3 Sr 0.000 0.000 0.546 [1 per cell]
4 Ca 0.500 0.500 0.758 [1 per cell]

=====

Record 11
Density functional theory data (meta-GGA SCAN) for Ta2FeS4 at its PBEsol-relaxed geometry.

Results
Uncorrected formation energy (eV per formula unit): -6.50

Cell: 3.2865 3.2865 11.8196 Å, 90.00 90.00 120.00°
Space group P-3m1 (No. 164)
Symmetry-distinct sites (fractional):
1 Ta 0.0000 0.0000 0.2381 [2 per cell]
2 Fe 0.0000 0.0000 0.0000 [1 per cell]
3 S 0.3333 0.6667 0.6297 [2 per cell]
4 S 0.3333 0.6667 0.8988 [2 per cell]

=====

Record 12
Density functional theory data (meta-GGA SCAN) for MgPt4 at its PBEsol-relaxed geometry.

Results
Calculated formation energy (eV per atom): -0.442

Cell: 6.181 6.181 3.954 Å, 90.00 90.00 90.00°
Space group I4/m (No. 87)
Symmetry-distinct sites (fractional):
1 Mg 0.000 0.000 0.000 [2 per cell]
2 Pt 0.103 0.698 0.500 [8 per cell]

=====

Computed electronic total energy, in the same sequence as the records: -3.422; -2.707; -1.298; -0.457; -1.995; -0.679; -0.967; -2.314; -1.767; -0.886; -2.061; -4.233 Ry per atom.
Computed magnetization, in the same sequence as the records: 0.00; 1.10; 0.00; 0.00; 0.00; 0.00; 8.12; 8.99; 0.00; 0.19; 0.00; 0.66 μB/f.u..
Computed DOS(E_F), in the same sequence as the records: 2.8; 7.4; 2.2; 1.6; 4.6; 3.0; 11.2; 2.2; 8.9; 3.9; 1.1; 9.6 states/eV/cell.